1.
VASP calculation (PBE-GGA) on a relaxed BaCrBi2 crystal.

a b c (Å): 5.877 5.877 18.573
angles (deg): 90.00 90.00 90.00
Positions (direct):
Ba 0.000 0.000 0.000
Ba 0.000 0.500 0.250
Ba 0.500 0.000 0.750
Ba 0.500 0.500 0.500
Cr 0.000 0.000 0.500
Cr 0.000 0.500 0.750
Cr 0.500 0.000 0.250
Cr 0.500 0.500 0.000
Bi 0.106 0.250 0.625
Bi 0.250 0.606 0.875
Bi 0.250 0.894 0.375
Bi 0.394 0.250 0.125
Bi 0.606 0.750 0.125
Bi 0.750 0.106 0.375
Bi 0.750 0.394 0.875
Bi 0.894 0.750 0.625

Summary:
The symmetry is I-42d. As for the crystal system: tetragonal. Its energy relative to the elements is -0.005 eV per atom. The density of states at the Fermi level comes out at 0.3997 states/eV per atom. The raw total energy is -4.8320 eV/atom.


2.
VASP calculation (PBE-GGA) on a relaxed BaCr3Bi crystal.

a b c (Å): 5.283 5.283 5.283
angles (deg): 90.00 90.00 90.00
Positions (direct):
Ba 0.000 0.000 0.000
Cr 0.000 0.000 0.500
Cr 0.000 0.500 0.000
Cr 0.500 0.000 0.000
Bi 0.500 0.500 0.500

Summary:
The symmetry is Pm-3m. As for the crystal system: cubic. Its energy relative to the elements is 2.102 eV per atom. The calculation puts the energy above the most stable polymorph in this dataset at 1093.5 meV per atom. The density of states at the Fermi level comes out at 1.5458 states/eV per atom. The raw total energy is -4.8330 eV/atom.


3.
VASP calculation (PBE-GGA) on a relaxed BaCrCu2Bi crystal.

a b c (Å): 5.247 5.247 5.295
angles (deg): 90.00 90.00 90.00
Positions (direct):
Ba 0.000 0.000 0.000
Cr 0.500 0.500 0.000
Cu 0.000 0.500 0.500
Cu 0.500 0.000 0.500
Bi 0.500 0.500 0.500

Summary:
The symmetry is P4/mmm. As for the crystal system: tetragonal. Its energy relative to the elements is 0.541 eV per atom. The density of states at the Fermi level comes out at 0.5527 states/eV per atom. The raw total energy is -4.1833 eV/atom.


- Among the records above, which one has the highest energy relative to the elements?
  BaCr3Bi


Please write out number 3 again, unchanged.
VASP calculation (PBE-GGA) on a relaxed BaCrCu2Bi crystal.

a b c (Å): 5.247 5.247 5.295
angles (deg): 90.00 90.00 90.00
Positions (direct):
Ba 0.000 0.000 0.000
Cr 0.500 0.500 0.000
Cu 0.000 0.500 0.500
Cu 0.500 0.000 0.500
Bi 0.500 0.500 0.500

Summary:
The symmetry is P4/mmm. As for the crystal system: tetragonal. Its energy relative to the elements is 0.541 eV per atom. The density of states at the Fermi level comes out at 0.5527 states/eV per atom. The raw total energy is -4.1833 eV/atom.


Repeat the second record exactly.
VASP calculation (PBE-GGA) on a relaxed BaCr3Bi crystal.

a b c (Å): 5.283 5.283 5.283
angles (deg): 90.00 90.00 90.00
Positions (direct):
Ba 0.000 0.000 0.000
Cr 0.000 0.000 0.500
Cr 0.000 0.500 0.000
Cr 0.500 0.000 0.000
Bi 0.500 0.500 0.500

Summary:
The symmetry is Pm-3m. As for the crystal system: cubic. Its energy relative to the elements is 2.102 eV per atom. The calculation puts the energy above the most stable polymorph in this dataset at 1093.5 meV per atom. The density of states at the Fermi level comes out at 1.5458 states/eV per atom. The raw total energy is -4.8330 eV/atom.